No. 1
{
  "formula": "BeNbTcO2",
  "functional": "PBE",
  "state": "optimized geometry",
  "lattice": [[-2.788, 2.403, 0.696], [-2.680, -2.141, -3.349], [-1.367, -2.337, 2.588]],
  "species": ["Be", "Nb", "Tc", "O", "O"],
  "fractional_positions": [[0.000, 0.500, 0.000], [0.500, 0.500, 0.500], [0.000, 0.000, 0.000], [0.000, 0.000, 0.500], [0.500, 0.000, 0.000]]
}

No. 2
{
  "formula": "Be4Nb3TlO12",
  "functional": "PBE",
  "state": "optimized geometry",
  "lattice": [[-1.676, 6.188, 1.085], [-2.647, -3.300, 4.938], [6.396, -0.186, 1.154]],
  "species": ["Be", "Be", "Be", "Be", "Nb", "Nb", "Nb", "Tl", "O", "O", "O", "O", "O", "O", "O", "O", "O", "O", "O", "O"],
  "fractional_positions": [[0.949, 0.051, 0.500], [0.051, 0.500, 0.949], [0.500, 0.949, 0.051], [0.500, 0.500, 0.500], [0.549, 0.451, 0.000], [0.451, 0.000, 0.549], [0.000, 0.549, 0.451], [0.000, 0.000, 0.000], [0.500, 0.347, 0.653], [0.902, 0.500, 0.098], [0.098, 0.902, 0.500], [0.500, 0.098, 0.902], [0.400, 0.983, 0.246], [0.246, 0.400, 0.983], [0.983, 0.246, 0.400], [0.600, 0.754, 0.017], [0.017, 0.600, 0.754], [0.754, 0.017, 0.600], [0.653, 0.500, 0.347], [0.347, 0.653, 0.500]]
}

| no. | formation energy without anion corrections (eV/atom) | electronic total energy (eV/f.u.) |
| --- | --- | --- |
| 1 | -0.011 | -34.1 |
| 2 | -2.411 | -155.2 |